[1]
A relaxed Ta5TiC6 crystal, computed with PBE.

The space group is C2/m (No. 12) and the conventional cell measures 5.468, 9.459 and 5.461 Å, with angles of 90.00, 109.58 and 90.00 degrees. Symmetry generates all atoms from Ta at (0.000, 0.000, 0.000), Ta at (0.000, 0.167, 0.500), Ta at (0.000, 0.335, 0.000), Ti at (0.000, 0.500, 0.500), C at (0.248, 0.334, 0.749) and C at (0.248, 0.500, 0.252).

The calculation puts the total energy at -260.65 eV per cell. The value obtained for the calculated formation energy is -0.652 eV/atom. The calculation puts the magnetic moment at 0.00 μB per formula unit.

=====

[2]
A relaxed LiPm2RuO5 crystal, computed with PBE.

The space group is P4/mbm (No. 127) and the conventional cell measures 6.764, 6.764 and 5.769 Å, with angles of 90.00, 90.00 and 90.00 degrees. Symmetry generates all atoms from Li at (0.000, 0.000, 0.000), Pm at (0.177, 0.323, 0.500), Ru at (0.000, 0.500, 0.000), O at (0.000, 0.000, 0.500) and O at (0.136, 0.636, 0.249).

The calculation puts the total energy at -131.00 eV per cell. As for the uncorrected formation energy: -2224 meV/atom. The calculation puts the magnetic moment at 3.00 μB per formula unit.

=====

[3]
A relaxed Cs6Br2OF crystal, computed with PBE.

The space group is P-3m1 (No. 164) and the conventional cell measures 8.4233, 8.4233 and 7.7044 Å, with angles of 90.00, 90.00 and 120.00 degrees. Symmetry generates all atoms from Cs at (0.1552, 0.3103, 0.2704), Br at (0.3333, 0.6667, 0.6182), O at (0.0000, 0.0000, 0.5000) and F at (0.0000, 0.0000, 0.0000).

The calculation puts the total energy at -30.16 eV per cell. As for the uncorrected formation energy: -1486 meV/atom. The calculation puts the magnetic moment at 0.00 μB per formula unit.

=====

[4]
A relaxed NaHf crystal, computed with PBE.

The space group is Imm2 (No. 44) and the conventional cell measures 3.053, 15.254 and 8.024 Å, with angles of 90.00, 90.00 and 90.00 degrees. Symmetry generates all atoms from Na at (0.000, 0.000, 0.000), Na at (0.000, 0.303, 0.771), Hf at (0.000, 0.000, 0.413) and Hf at (0.000, 0.403, 0.158).

The energy above the most stable polymorph in this dataset comes out at 20.0 kJ per mole of atoms. The calculation puts the total energy at -60.14 eV per cell. The value obtained for the calculated formation energy is 0.624 eV/atom. The calculation puts the magnetic moment at 0.00 μB per formula unit.

=====

Among the records above, which one has the highest magnetic moment?
LiPm2RuO5